(1)
Rb3NpAg2Cl9: optimized geometry, PBE.

Properties
Electronic total energy, eV/atom: -4.006
Formation energy without anion corrections, meV per atom: -1462

```
Rb3NpAg2Cl9
1.0
7.596 0.000 0.000
-3.798 6.578 0.000
0.000 0.000 9.515
Cl Rb Ag Np
9 3 2 1
Direct
0.162 0.838 0.339
0.676 0.838 0.339
0.838 0.676 0.661
0.500 0.500 0.000
0.000 0.500 0.000
0.162 0.324 0.339
0.324 0.162 0.661
0.838 0.162 0.661
0.500 0.000 0.000
0.667 0.333 0.265
0.000 0.000 0.000
0.333 0.667 0.735
0.333 0.667 0.154
0.667 0.333 0.846
0.000 0.000 0.500
```



(2)
Nb2ZnMo: optimized geometry, PBE.

Properties
Electronic total energy, eV/atom: -7.495
Energy of formation from the pure elements, eV/f.u.: 2.26

```
Nb2ZnMo
1.0
7.243 0.000 0.000
0.000 7.243 0.000
3.622 3.622 2.748
Nb Mo Zn
4 2 2
Direct
0.875 0.887 0.750
0.375 0.363 0.750
0.113 0.625 0.250
0.637 0.125 0.250
0.750 0.250 0.500
0.000 0.000 0.000
0.500 0.500 0.000
0.250 0.750 0.500
```



(3)
HfScSCl2: optimized geometry, PBE.

Properties
Electronic total energy, eV/atom: -5.361
Formation energy without anion corrections, meV per atom: -540
Energy above the lowest structure with this stoichiometry, meV/atom: 197

```
HfScSCl2
1.0
4.831 0.000 0.000
0.000 4.831 0.000
0.000 0.000 5.093
Sc Cl S Hf
1 2 1 1
Direct
0.000 0.000 0.000
0.500 0.000 0.000
0.000 0.500 0.000
0.000 0.000 0.500
0.500 0.500 0.500
```



The highest electronic total energy belongs to which entry?
Rb3NpAg2Cl9



Among the records above, which one has the highest electronic total energy?
Rb3NpAg2Cl9